Entry 1:
4
Lattice="-4.102 0.511 -1.155 -1.050 -3.561 2.154 1.669 4.551 4.061" Properties=species:S:1:pos:R:3 comment="TlTe2P | the Alexandria database | PBEsol | optimized geometry" m_tot_mub_per_cell=0.00 volume_a3_per_cell=102 formation_energy_uncorrected_ev_per_atom=0.454 pbc="T T T"
Te -0.978 -0.267 3.357
Te -2.504 1.768 1.703
Tl -2.576 -1.525 0.500
P 0.000 0.000 0.000

Entry 2:
4
Lattice="-2.321 -2.281 0.198 0.309 -0.032 3.246 -5.349 5.491 0.563" Properties=species:S:1:pos:R:3 comment="Te2PW | the Alexandria database | PBEsol | optimized geometry" m_tot_mub_per_cell=0.00 volume_a3_per_cell=82 formation_energy_uncorrected_ev_per_atom=0.137 pbc="T T T"
Te -2.713 0.596 1.902
Te -4.973 5.105 0.524
P -4.732 2.668 2.114
W -2.966 3.045 0.312

Entry 3:
4
Lattice="3.652 0.000 0.029 0.000 3.693 0.000 -1.398 0.000 7.090" Properties=species:S:1:pos:R:3 comment="Y2TeP | the Alexandria database | PBEsol | optimized geometry" m_tot_mub_per_cell=0.00 volume_a3_per_cell=96 formation_energy_uncorrected_ev_per_atom=-1.233 polymorph_energy_mev_per_atom=389 pbc="T T T"
Y -0.747 0.000 5.492
Y 3.001 0.000 1.627
P 1.826 1.846 0.015
Te 1.127 1.846 3.560

Entry 4:
6
Lattice="5.403 0.000 0.000 2.701 4.679 0.000 2.701 1.560 4.411" Properties=species:S:1:pos:R:3 comment="YTeP4 | the Alexandria database | PBEsol | optimized geometry" m_tot_mub_per_cell=0.00 volume_a3_per_cell=112 formation_energy_uncorrected_ev_per_atom=-0.108 pbc="T T T"
P 5.403 3.119 3.656
P 5.403 4.487 1.722
P 6.587 2.435 1.722
P 4.218 2.435 1.722
Te 8.104 4.679 3.308
Y 0.000 0.000 0.000

Entry 5:
4
Lattice="4.020 0.000 0.000 2.010 3.481 0.000 2.010 1.160 7.150" Properties=species:S:1:pos:R:3 comment="Y2TeP | the Alexandria database | PBEsol | optimized geometry" m_tot_mub_per_cell=0.00 volume_a3_per_cell=100 formation_energy_uncorrected_ev_per_atom=-1.594 polymorph_energy_mev_per_atom=29 pbc="T T T"
Te 2.010 1.160 1.804
Y 2.010 1.160 6.872
Y 6.030 3.481 3.869
P 4.020 2.321 5.330

Entry 6:
5
Lattice="-2.139 4.679 -0.715 -4.511 -2.253 -1.249 -1.435 0.106 4.991" Properties=species:S:1:pos:R:3 comment="Y3TeP | the Alexandria database | PBEsol | optimized geometry" m_tot_mub_per_cell=0.00 volume_a3_per_cell=140 formation_energy_uncorrected_ev_per_atom=-0.762 pbc="T T T"
Y -2.255 -1.127 -0.624
Y -1.070 2.340 -0.357
Y -0.717 0.053 2.496
Te -4.043 1.266 1.514
P 0.000 0.000 0.000

Entry 7:
4
Lattice="-2.765 -3.731 -2.066 1.954 -2.843 -3.732 1.223 -4.854 0.878" Properties=species:S:1:pos:R:3 comment="Y2TeP | the Alexandria database | PBEsol | optimized geometry" m_tot_mub_per_cell=0.01 volume_a3_per_cell=93 formation_energy_uncorrected_ev_per_atom=-1.116 polymorph_energy_mev_per_atom=506 pbc="T T T"
Y 0.310 -8.571 -3.690
Y 0.103 -2.857 -1.230
Te 0.000 0.000 0.000
P 0.206 -5.714 -2.460

Entry 8:
4
Lattice="3.766 0.000 0.000 0.000 4.249 0.085 -1.883 -0.314 6.713" Properties=species:S:1:pos:R:3 comment="YTe2P | the Alexandria database | PBEsol | optimized geometry" m_tot_mub_per_cell=0.00 volume_a3_per_cell=108 formation_energy_uncorrected_ev_per_atom=-0.597 pbc="T T T"
Y 1.883 2.125 0.042
P 0.000 0.000 0.000
Te 1.883 2.794 4.367
Te 0.000 1.142 2.431